# MnSb2TePt

A relaxed structure of MnSb2TePt (PBE, the Alexandria database).

Unit cell a=5.194 b=5.194 c=5.531 alpha=90.00 beta=90.00 gamma=90.00
Fractional positions:
Mn1 0.000 0.000 0.000
Sb1 0.000 0.500 0.500
Sb2 0.500 0.000 0.500
Te1 0.500 0.500 0.000
Pt1 0.500 0.500 0.500

Computed properties:
Polymorph energy (0 for the lowest one), eV/atom: 0.051
Fermi-level density of states, states/eV/f.u.: 3.38
ΔE_f (raw), eV per formula unit: 3.12
Space-group type: P4/mmm, No. 123

# ScMn2Pt

A relaxed structure of ScMn2Pt (PBE, the Alexandria database).

Unit cell a=5.272 b=5.272 c=2.856 alpha=102.38 beta=102.38 gamma=118.21
Fractional positions:
Sc1 0.000 0.000 0.000
Mn1 0.000 0.500 0.500
Mn2 0.500 0.000 0.500
Pt1 0.500 0.500 0.000

Computed properties:
Formation energy from the elements, eV/atom: -0.1431
Fermi-level density of states, states/eV/f.u.: 4.41
Space-group type: C2/m, No. 12

> Among the records above, which one has the highest Fermi-level density of states?

ScMn2Pt